Version i
The following is a DFT calculation (PBE) of crystalline Cs2BrF at its relaxed geometry.

abc: 4.6895 4.6895 8.4244
angles: 89.98 106.16 120.05
Last column: nearest neighbours and their distance in Å.
Positions (direct):
Br  0.0000  0.5000  0.5000  6 Cs 3.59
Cs  0.5303  0.2655  0.7958  3 F 3.16
Cs  0.4697  0.7345  0.2041  3 F 3.16
F  0.0000  0.0000  0.0000  6 Cs 3.16

Results
- Crystal system: trigonal

=====

Version ii
The following is a DFT calculation (PBE) of crystalline Cs2BrF at its relaxed geometry.

abc: 8.3876 8.3876 7.6670
angles: 56.84 56.84 90.00
Last column: nearest neighbours and their distance in Å.
Positions (direct):
Cs  0.1947  0.6250  0.2500  2 F 2.86
Cs  0.3750  0.4447  0.7500  2 F 2.86
Cs  0.5553  0.1250  0.2500  2 F 2.86
Cs  0.8750  0.8053  0.7500  2 F 2.86
F  0.2500  0.7500  0.5000  4 Cs 2.86
F  0.5000  0.5000  0.0000  4 Cs 2.86
Br  0.7500  0.2500  0.5000  4 Cs 3.61
Br  0.0000  0.0000  0.0000  4 Cs 3.61

Results
- Crystal system: tetragonal

=====

The least stable of them is version ii.

=====

Version i
The following is a DFT calculation (PBE) of crystalline CsHgBr2F at its relaxed geometry.

abc: 5.7196 5.7196 4.7030
angles: 90.00 90.00 90.00
Last column: nearest neighbours and their distance in Å.
Positions (direct):
Cs  0.5000  0.5000  0.5000  8 Br 3.70, 4 F 4.04
F  0.0000  0.0000  0.5000  2 Hg 2.35
Br  0.5000  0.0000  0.0000  2 Hg 2.86
Br  0.0000  0.5000  0.0000  2 Hg 2.86
Hg  0.0000  0.0000  0.0000  2 F 2.35

Results
- Crystal system: tetragonal

=====

Version ii
The following is a DFT calculation (PBE) of crystalline CsHgBr2F at its relaxed geometry.

abc: 4.6605 7.8579 9.8944
angles: 106.71 90.00 90.00
Last column: nearest neighbours and their distance in Å.
Positions (direct):
Hg  0.7500  0.1333  0.1971  1 F 2.15
Hg  0.2500  0.8667  0.8029  1 F 2.15
F  0.7500  0.4178  0.2460  1 Hg 2.15
F  0.2500  0.5822  0.7540  1 Hg 2.15
Br  0.7500  0.8478  0.6224  2 Hg 2.91
Br  0.2500  0.1522  0.3776  2 Hg 2.91
Br  0.2500  0.1917  0.9460  1 Hg 2.54
Br  0.7500  0.8083  0.0540  1 Hg 2.54
Cs  0.2500  0.6429  0.3070  2 F 2.88
Cs  0.7500  0.3571  0.6930  2 F 2.88

Results
- Crystal system: monoclinic

=====

The least stable of them is version i.

=====

Version i
The following is a DFT calculation (PBE) of crystalline CsBrOF2 at its relaxed geometry.

abc: 5.1110 5.1110 4.7662
angles: 90.00 90.00 90.00
Last column: nearest neighbours and their distance in Å.
Positions (direct):
F  0.0000  0.5000  0.0000  2 Cs 2.56
F  0.5000  0.0000  0.0000  2 Cs 2.56
Br  0.5000  0.5000  0.5000  8 F 3.49, 4 O 3.61
O  0.0000  0.0000  0.5000  2 Cs 2.38
Cs  0.0000  0.0000  0.0000  2 O 2.38, 4 F 2.56

Results
- Crystal system: tetragonal

=====

Version ii
The following is a DFT calculation (PBE) of crystalline CsBrOF2 at its relaxed geometry.

abc: 5.0051 5.0051 3.8090
angles: 90.00 90.00 90.00
Last column: nearest neighbours and their distance in Å.
Positions (direct):
F  0.5000  0.0000  0.0000  2 Br 2.50
F  0.0000  0.5000  0.0000  2 Br 2.50
O  0.0000  0.0000  0.5000  2 Br 1.90
Br  0.0000  0.0000  0.0000  2 O 1.90
Cs  0.5000  0.5000  0.5000  8 F 3.14

Results
- Crystal system: tetragonal

=====

The least stable of them is version i.

=====

Version i
The following is a DFT calculation (PBE) of crystalline CsPbBr2F at its relaxed geometry.

abc: 6.2232 8.3896 6.2232
angles: 90.00 90.00 90.00
Last column: nearest neighbours and their distance in Å.
Positions (direct):
F  0.5000  0.5000  0.5000  4 Pb 4.40
Br  0.0000  0.0000  0.5000  2 Cs 3.11
Br  0.5000  0.0000  0.0000  2 Cs 3.11
Cs  0.0000  0.0000  0.0000  4 Br 3.11
Pb  0.0000  0.5000  0.0000  2 Cs 4.19, 4 F 4.40

Results
- Crystal system: tetragonal

=====

Version ii
The following is a DFT calculation (PBE) of crystalline CsPbBr2F at its relaxed geometry.

abc: 6.1283 6.1283 4.7929
angles: 90.00 90.00 90.00
Last column: nearest neighbours and their distance in Å.
Positions (direct):
Cs  0.5000  0.5000  0.5000  8 Br 3.89, 4 F 4.33
Br  0.5000  0.0000  0.0000  2 Pb 3.06
Br  0.0000  0.5000  0.0000  2 Pb 3.06
Pb  0.0000  0.0000  0.0000  2 F 2.40
F  0.0000  0.0000  0.5000  2 Pb 2.40

Results
- Crystal system: tetragonal

=====

The least stable of them is version i.

=====

Version i
The following is a DFT calculation (PBE) of crystalline CsSeBr2F at its relaxed geometry.

abc: 6.3153 6.3153 3.9886
angles: 90.00 90.00 90.00
Last column: nearest neighbours and their distance in Å.
Positions (direct):
Br  0.5000  0.0000  0.0000  2 F 3.16
Br  0.0000  0.5000  0.0000  2 F 3.16
F  0.0000  0.0000  0.0000  2 Se 1.99
Se  0.0000  0.0000  0.5000  2 F 1.99
Cs  0.5000  0.5000  0.5000  8 Br 3.73, 2 Cs 3.99

Results
- Crystal system: tetragonal

=====

Version ii
The following is a DFT calculation (PBE) of crystalline CsSeBr2F at its relaxed geometry.

abc: 5.6996 5.6996 4.4688
angles: 90.00 90.00 90.00
Last column: nearest neighbours and their distance in Å.
Positions (direct):
Cs  0.5000  0.5000  0.5000  8 Br 3.62, 4 F 4.03
Se  0.0000  0.0000  0.0000  2 F 2.23
Br  0.0000  0.5000  0.0000  2 Se 2.85
Br  0.5000  0.0000  0.0000  2 Se 2.85
F  0.0000  0.0000  0.5000  2 Se 2.23

Results
- Crystal system: tetragonal

=====

The least stable of them is version i.

=====

Version i
The following is a DFT calculation (PBE) of crystalline CsSiTeBrF at its relaxed geometry.

abc: 5.7997 4.9531 6.6734
angles: 90.00 105.86 90.00
Last column: nearest neighbours and their distance in Å.
Positions (direct):
Si  0.4844  0.5000  0.2553  1 F 1.68
Te  0.6328  0.0000  0.2130  2 Si 2.66
Br  0.4271  0.5000  0.5963  1 Si 2.39
F  0.1980  0.5000  0.1110  1 Si 1.68
Cs  0.9971  0.0000  0.7984  2 F 3.24

Results
- Crystal system: monoclinic

=====

Version ii
The following is a DFT calculation (PBE) of crystalline CsSiTeBrF at its relaxed geometry.

abc: 6.7994 4.9440 12.2881
angles: 90.00 113.39 90.00
Last column: nearest neighbours and their distance in Å.
Positions (direct):
Br  0.2434  0.0000  0.4937  1 Si 2.36
Br  0.2434  0.5000  0.9937  1 Si 2.36
F  0.3269  0.5000  0.7703  1 Si 1.68
F  0.3269  0.0000  0.2703  1 Si 1.68
Si  0.5040  0.0000  0.4118  1 F 1.68
Si  0.5040  0.5000  0.9118  1 F 1.68
Te  0.6631  0.5000  0.4453  2 Si 2.66
Te  0.6631  0.0000  0.9453  2 Si 2.66
Cs  0.0019  0.5000  0.2356  2 F 3.23
Cs  0.0019  0.0000  0.7356  2 F 3.23

Results
- Crystal system: monoclinic

=====

The least stable of them is version ii.